Entry 1:
Entry from the Alexandria database: an optimized crystal structure of PmSm9Al2 (GGA-PBE).

D(E_F) = 1.1419 states/eV/atom
calculated formation energy = -96 meV/atom
magnetic moment = 0.0 μB per formula unit
crystal system = tetragonal

Lattice parameters (Å, degrees): 4.9021 4.9021 15.0934 90.00 90.00 90.00
Closest atoms and distances in Å follow each position.
Space group P4/mmm (No. 123)
Unique sites:
Pm: 0.0000 0.0000 0.0000  12 Sm 3.47-3.65
Sm: 0.0000 0.5000 0.1795  2 Al 3.45, 8 Sm 3.47-3.65, 2 Pm 3.65
Sm: 0.0000 0.5000 0.5000  8 Sm 3.42-3.47, 4 Al 3.44
Sm: 0.5000 0.5000 0.0000  4 Pm 3.47, 8 Sm 3.65
Sm: 0.5000 0.5000 0.3418  8 Sm 3.42-3.47, 4 Al 3.47
Al: 0.0000 0.0000 0.3402  12 Sm 3.44-3.47

---

Entry 2:
Entry from the Alexandria database: an optimized crystal structure of Pm5Sm12Al2 (GGA-PBE).

D(E_F) = 1.2603 states/eV/atom
calculated formation energy = 61 meV/atom
magnetic moment = 0.0 μB per formula unit
crystal system = monoclinic

Lattice parameters (Å, degrees): 18.0141 8.0681 9.0005 90.00 108.45 90.00
Closest atoms and distances in Å follow each position.
Space group C2/m (No. 12)
Unique sites:
Pm: 0.0000 0.0000 0.0000  10 Sm 3.40-3.78
Pm: 0.1866 0.5000 0.6718  2 Al 3.48, 6 Sm 3.56-3.71
Pm: 0.2490 0.5000 0.2794  9 Sm 3.42-3.77
Sm: 0.0166 0.5000 0.1915  2 Al 3.17, 3 Sm 3.28-3.31
Sm: 0.0514 0.0000 0.6672  3 Sm 2.99-3.34, 2 Al 3.11
Sm: 0.1349 0.2000 0.3665  2 Sm 3.23-3.28, 1 Al 3.23, 3 Pm 3.42-3.59
Sm: 0.1532 0.2328 0.9703  4 Sm 3.34-3.69, 3 Pm 3.42-3.64
Al: 0.0000 0.3380 0.5000  1 Al 2.61

---

Entry 3:
Entry from the Alexandria database: an optimized crystal structure of PmSmAl4 (GGA-PBE).

D(E_F) = 0.8505 states/eV/atom
calculated formation energy = -509 meV/atom
magnetic moment = 0.0 μB per formula unit
crystal system = cubic

Lattice parameters (Å, degrees): 7.9909 7.9909 7.9909 90.00 90.00 90.00
Closest atoms and distances in Å follow each position.
Space group F-43m (No. 216)
Unique sites:
Pm: 0.0000 0.0000 0.0000  12 Al 3.31, 4 Sm 3.46
Sm: 0.2500 0.2500 0.7500  12 Al 3.31, 4 Pm 3.46
Al: 0.1250 0.1250 0.3750  6 Al 2.83

---

Entry 4:
Entry from the Alexandria database: an optimized crystal structure of Pm2Sm3Al4 (GGA-PBE).

D(E_F) = 0.6739 states/eV/atom
calculated formation energy = -139 meV/atom
magnetic moment = 0.0 μB per formula unit
crystal system = orthorhombic

Lattice parameters (Å, degrees): 6.9686 16.0258 9.0116 90.00 90.00 90.00
Closest atoms and distances in Å follow each position.
Space group Cmce (No. 64)
Unique sites:
Pm: 0.0000 0.1066 0.0722  5 Al 3.26-3.58, 2 Sm 3.61
Sm: 0.0000 0.0000 0.5000  6 Al 2.90-2.99
Sm: 0.2500 0.2229 0.7500  5 Al 3.03-3.11
Al: 0.0000 0.1856 0.4713  5 Sm 2.99-3.11
Al: 0.2500 0.0336 0.7500  3 Sm 2.90-3.03